Here is Li12Cu2Pd5 after structural relaxation from Alexandria via LeMat-Bulk. Energies are from PBE-GGA.

Fermi-level density of states, states/eV/atom: 0.304
Energy of formation, eV per atom: -0.17

Lattice parameters (Å, degrees): 13.229 5.093 10.761 90.00 126.96 90.00
Space group C2/m (No. 12)
Inequivalent atoms, fractional coordinates:
Li1 0.038 0.000 0.148 (multiplicity 4)
Li2 0.044 0.500 0.315 (multiplicity 4)
Li3 0.173 0.258 0.021 (multiplicity 8)
Li4 0.239 0.247 0.683 (multiplicity 8)
Cu1 0.000 0.249 0.500 (multiplicity 4)
Pd1 0.000 0.500 0.000 (multiplicity 2)
Pd2 0.107 0.000 0.765 (multiplicity 4)
Pd3 0.158 0.000 0.439 (multiplicity 4)

=====

Here is CsSN2O after structural relaxation from Alexandria via LeMat-Bulk. Energies are from PBE-GGA.

Fermi-level density of states, states/eV/atom: 0.247
Raw formation energy, kJ/mol of atoms: 241

Lattice parameters (Å, degrees): 5.976 5.976 4.616 90.00 90.00 90.00
Space group P4/mmm (No. 123)
Inequivalent atoms, fractional coordinates:
Cs1 0.000 0.000 0.000 (multiplicity 1)
S1 0.500 0.500 0.500 (multiplicity 1)
N1 0.000 0.500 0.000 (multiplicity 2)
O1 0.000 0.000 0.500 (multiplicity 1)